Density functional theory data (PBE-GGA) for KAs2Se after structural relaxation.

abc: 8.1630 8.1630 6.8681
angles: 53.54 53.54 90.00
With the nearest neighbours (Å) after each atom.
Positions (direct):
As 0.3750 0.2709 0.7500  2 Se 2.54
As 0.8750 0.9791 0.7500  2 Se 2.54
As 0.0209 0.6250 0.2500  2 Se 2.54
As 0.7291 0.1250 0.2500  2 Se 2.54
Se 0.7500 0.2500 0.5000  4 As 2.54
Se 0.0000 0.0000 0.0000  4 As 2.54
K 0.5000 0.5000 0.0000  8 As 3.66, 2 Se 3.72
K 0.2500 0.7500 0.5000  8 As 3.66, 2 Se 3.72

## Properties
- space-group type = No. 122
- total energy (Ry/atom) = -0.2471
- E_form (uncorrected) (kcal/mol of atoms) = 2.49

***

Density functional theory data (PBE-GGA) for PuPaAg after structural relaxation.

abc: 3.6771 3.6771 5.7330
angles: 108.71 108.71 90.00
With the nearest neighbours (Å) after each atom.
Positions (direct):
Pa 0.3428 0.3428 0.6856  4 Pu 3.00, 5 Ag 3.15-3.33
Ag 0.6682 0.6682 0.3364  5 Pa 3.15-3.33, 5 Pu 3.18-3.28
Pu 0.9890 0.9890 0.9779  4 Pa 3.00, 5 Ag 3.18-3.28

## Properties
- space-group type = No. 107
- ΔE to the lowest computed polymorph (eV/f.u.) = 0.000
- ΔE_f (eV per atom) = 0.184
- total energy (Ry/atom) = -0.6401

***

Density functional theory data (PBE-GGA) for SrAl3Tc after structural relaxation.

abc: 8.8124 8.8124 4.9208
angles: 90.00 90.00 146.43
With the nearest neighbours (Å) after each atom.
Positions (direct):
Al 0.8427 0.6273 0.2500  3 Al 2.39-2.58
Al 0.0000 0.0000 0.0000  6 Al 2.46-2.58
Al 0.6273 0.8427 0.7500  3 Al 2.39-2.58
Al 0.1573 0.3727 0.7500  3 Al 2.39-2.58
Al 0.0000 0.0000 0.5000  6 Al 2.46-2.58
Al 0.3727 0.1573 0.2500  3 Al 2.39-2.58
Sr 0.1985 0.8015 0.7500  8 Al 3.20-3.57
Sr 0.8015 0.1985 0.2500  8 Al 3.20-3.57
Tc 0.5435 0.4565 0.7500  10 Al 2.82-2.94, 2 Tc 2.86
Tc 0.4565 0.5435 0.2500  10 Al 2.82-2.94, 2 Tc 2.86

## Properties
- space-group type = No. 63
- ΔE to the lowest computed polymorph (eV/f.u.) = 1.419
- ΔE_f (eV per atom) = -0.039
- total energy (Ry/atom) = -0.3450

***

Among the records above, which one has the highest total energy?
KAs2Se

***

Look up the total energy of the first one.
-0.2471 Ry/atom